Entry 1:
DFT (GGA-PBE) results for a relaxed CaS3F crystal.

Calculated values
ΔE_f (raw) (kJ per mole of atoms): 24.3
DOS at the Fermi energy (states/eV/cell): 5.14
Total magnetic moment (μB/atom): 1.000

a b c (Å): 5.3766 5.3766 5.3766
angles (deg): 90.00 90.00 90.00
Atoms (fractional coordinates):
S 0.0000 0.5000 0.0000
S 0.5000 0.0000 0.0000
S 0.0000 0.0000 0.5000
F 0.5000 0.5000 0.5000
Ca 0.0000 0.0000 0.0000

Entry 2:
DFT (GGA-PBE) results for a relaxed Al2V2Hg crystal.

Calculated values
ΔH_f (0 K) (meV/atom): 156.8
DOS at the Fermi energy (states/eV/cell): 10.82
Total magnetic moment (μB/atom): 0.577

a b c (Å): 7.0788 7.0788 3.2278
angles (deg): 90.00 90.00 90.00
Atoms (fractional coordinates):
Al 0.1266 0.3734 0.0000
Al 0.8734 0.6266 0.0000
Al 0.6266 0.1266 0.0000
Al 0.3734 0.8734 0.0000
Hg 0.0000 0.0000 0.0000
Hg 0.5000 0.5000 0.0000
V 0.6696 0.8304 0.5000
V 0.3304 0.1696 0.5000
V 0.8304 0.3304 0.5000
V 0.1696 0.6696 0.5000

Entry 3:
DFT (GGA-PBE) results for a relaxed LiZrMo crystal.

Calculated values
ΔH_f (0 K) (meV/atom): 297.6
DOS at the Fermi energy (states/eV/cell): 2.51
Total magnetic moment (μB/atom): 0.000

a b c (Å): 7.6079 7.4337 2.8515
angles (deg): 82.53 75.65 21.82
Atoms (fractional coordinates):
Mo 0.3317 0.3317 0.6683
Li 0.9898 0.9898 0.0102
Zr 0.6785 0.6785 0.3215

Entry 4:
DFT (GGA-PBE) results for a relaxed BaNi2AgBr8 crystal.

Calculated values
ΔE_f (raw) (kJ per mole of atoms): -66.0
DOS at the Fermi energy (states/eV/cell): 6.97
Total magnetic moment (μB/atom): 0.422

a b c (Å): 6.7671 6.7671 9.5207
angles (deg): 90.00 90.00 120.00
Atoms (fractional coordinates):
Ag 0.0000 0.0000 0.5000
Br 0.6826 0.6910 0.6965
Br 0.9917 0.6826 0.3035
Br 0.6667 0.3333 0.0014
Br 0.3333 0.6667 0.9986
Br 0.3174 0.3090 0.3035
Br 0.3090 0.9917 0.6965
Br 0.6910 0.0083 0.3035
Br 0.0083 0.3174 0.6965
Ni 0.6667 0.3333 0.2490
Ni 0.3333 0.6667 0.7510
Ba 0.0000 0.0000 0.0000

Entry 5:
DFT (GGA-PBE) results for a relaxed Rb4Tb3SbS8 crystal.

Calculated values
ΔE_f (raw) (kJ per mole of atoms): -150.5
DOS at the Fermi energy (states/eV/cell): 0.00
Total magnetic moment (μB/atom): 0.000

a b c (Å): 8.2179 9.0189 8.2182
angles (deg): 117.11 120.00 90.00
Atoms (fractional coordinates):
S 0.7309 0.6927 0.4619
S 0.7297 0.6924 0.9611
S 0.2314 0.6925 0.4629
S 0.2691 0.3073 0.5381
S 0.2703 0.3076 0.0389
S 0.7686 0.3076 0.0389
S 0.2314 0.6924 0.9611
S 0.7686 0.3075 0.5371
Rb 0.5000 0.0000 0.0000
Rb 0.0000 0.0000 0.5000
Rb 0.5000 0.0000 0.5000
Rb 0.0000 0.0000 0.0000
Tb 0.0000 0.5000 0.5000
Tb 0.5000 0.5000 0.0000
Tb 0.5000 0.5000 0.5000
Sb 0.0000 0.5000 0.0000

Entry 6:
DFT (GGA-PBE) results for a relaxed KReRh crystal.

Calculated values
ΔH_f (0 K) (meV/atom): 817.0
DOS at the Fermi energy (states/eV/cell): 4.76
Total magnetic moment (μB/atom): 0.000

a b c (Å): 2.8424 2.8424 7.9788
angles (deg): 90.00 90.00 120.00
Atoms (fractional coordinates):
K 0.0000 0.0000 0.9928
Rh 0.6667 0.3333 0.6314
Re 0.3333 0.6667 0.3757

Entry 7:
DFT (GGA-PBE) results for a relaxed NdMgI2 crystal.

Calculated values
ΔE_f (raw) (kJ per mole of atoms): -45.7
DOS at the Fermi energy (states/eV/cell): 3.30
Total magnetic moment (μB/atom): 0.000

a b c (Å): 4.0263 4.0263 10.2974
angles (deg): 78.73 78.73 60.00
Atoms (fractional coordinates):
I 0.8928 0.8928 0.3217
I 0.1072 0.1072 0.6783
Mg 0.5000 0.5000 0.5000
Nd 0.0000 0.0000 0.0000

Entry 8:
DFT (GGA-PBE) results for a relaxed ZrPb2W crystal.

Calculated values
ΔH_f (0 K) (meV/atom): 527.0
DOS at the Fermi energy (states/eV/cell): 2.17
Total magnetic moment (μB/atom): 0.000

a b c (Å): 4.9229 3.2080 6.0572
angles (deg): 72.69 90.00 90.00
Atoms (fractional coordinates):
W 0.0000 0.5531 0.5044
Pb 0.5000 0.3206 0.2830
Pb 0.0000 0.9744 0.9706
Zr 0.5000 0.6520 0.7420

Entry 9:
DFT (GGA-PBE) results for a relaxed ZrPd5Au8 crystal.

Calculated values
ΔH_f (0 K) (meV/atom): -53.4
DOS at the Fermi energy (states/eV/cell): 6.27
Total magnetic moment (μB/atom): 0.000

a b c (Å): 6.9429 6.9429 6.9429
angles (deg): 110.35 107.72 110.35
Atoms (fractional coordinates):
Au 0.5777 0.9356 0.8668
Au 0.3579 0.2891 0.4223
Au 0.5089 0.6018 0.2363
Au 0.9312 0.0644 0.6421
Au 0.7637 0.2726 0.3655
Au 0.6345 0.3982 0.9071
Au 0.1332 0.7109 0.0688
Au 0.0929 0.7274 0.4911
Pd 0.8837 0.9134 0.2004
Pd 0.5000 0.0000 0.5000
Pd 0.7996 0.6833 0.7130
Pd 0.0297 0.3167 0.1163
Pd 0.2870 0.0866 0.9703
Zr 0.2500 0.5000 0.7500

Entry 10:
DFT (GGA-PBE) results for a relaxed Sm6InAg5 crystal.

Calculated values
ΔH_f (0 K) (meV/atom): -309.9
DOS at the Fermi energy (states/eV/cell): 9.63
Total magnetic moment (μB/atom): 0.000

a b c (Å): 5.2562 7.5366 8.3151
angles (deg): 90.00 108.39 90.00
Atoms (fractional coordinates):
Sm 0.8312 0.2516 0.6611
Sm 0.8311 0.7484 0.6611
Sm 0.5000 0.2585 0.0000
Sm 0.1688 0.7484 0.3389
Sm 0.1689 0.2516 0.3389
Sm 0.5000 0.7415 0.0000
Ag 0.3344 0.5000 0.6667
Ag 0.0000 0.5000 0.0000
Ag 0.6656 0.5000 0.3333
Ag 0.6587 0.0000 0.3202
Ag 0.3413 0.0000 0.6798
In 0.0000 0.0000 0.0000

Entry 11:
DFT (GGA-PBE) results for a relaxed Na2TlVIn crystal.

Calculated values
ΔH_f (0 K) (meV/atom): 1184.3
DOS at the Fermi energy (states/eV/cell): 6.74
Total magnetic moment (μB/atom): 0.088

a b c (Å): 5.6637 5.5472 5.6637
angles (deg): 90.00 90.00 90.00
Atoms (fractional coordinates):
V 0.5000 0.5000 0.5000
Na 0.5000 0.0000 0.0000
Na 0.0000 0.0000 0.5000
Tl 0.0000 0.5000 0.0000
In 0.0000 0.0000 0.0000

Entry 12:
DFT (GGA-PBE) results for a relaxed SmSc2Te crystal.

Calculated values
ΔE_f (raw) (kJ per mole of atoms): -47.2
DOS at the Fermi energy (states/eV/cell): 6.14
Total magnetic moment (μB/atom): 0.001

a b c (Å): 3.7525 3.7525 7.2825
angles (deg): 90.00 90.00 90.00
Atoms (fractional coordinates):
Sc 0.0000 0.0000 0.2183
Sc 0.0000 0.0000 0.7817
Te 0.5000 0.5000 0.0000
Sm 0.5000 0.5000 0.5000